# MnCdPdF6

An optimized crystal structure of MnCdPdF6 (GGA+U, the Alexandria database).

Magnetization: 14.0 μB/cell
VASP energy: -4.695 eV per atom
Volume: 258.3 Å³ per cell

Unit cell a=5.712 b=5.712 c=9.140 alpha=90.00 beta=90.00 gamma=120.00
Element x y z (fractional)
F 0.325 0.341 0.873
F 0.985 0.325 0.127
F 0.659 0.675 0.627
F 0.015 0.675 0.873
F 0.325 0.985 0.627
F 0.015 0.341 0.627
F 0.985 0.659 0.373
F 0.659 0.985 0.873
F 0.341 0.325 0.373
F 0.675 0.659 0.127
F 0.675 0.015 0.373
F 0.341 0.015 0.127
Cd 0.667 0.333 0.750
Cd 0.333 0.667 0.250
Mn 0.667 0.333 0.250
Mn 0.333 0.667 0.750
Pd 0.000 0.000 0.000
Pd 0.000 0.000 0.500